Record 1
{"formula": "La2TbGa3Rh4", "functional": "PBE-GGA", "state": "relaxed", "e_form_mev_per_atom": -810, "dft_energy_ev_per_atom": -6.107, "density_g_cm3": 8.5, "cell": [[4.341, 0.000, 0.000], [0.000, 4.341, 0.000], [0.000, 0.000, 10.907]], "species": ["La", "La", "Tb", "Ga", "Ga", "Ga", "Rh", "Rh", "Rh", "Rh"], "fractional_positions": [[0.500, 0.000, 0.222], [0.000, 0.500, 0.778], [0.500, 0.500, 0.500], [0.000, 0.000, 0.500], [0.500, 0.000, 0.886], [0.000, 0.500, 0.114], [0.500, 0.500, 0.000], [0.000, 0.000, 0.000], [0.500, 0.000, 0.653], [0.000, 0.500, 0.347]]}

***

Record 2
{"formula": "LaTlGa2Rh", "functional": "PBE-GGA", "state": "relaxed", "e_form_mev_per_atom": -442, "dft_energy_ev_per_atom": -4.582, "density_g_cm3": 7.6, "cell": [[4.916, 0.000, 0.000], [0.000, 4.916, 0.000], [0.000, 0.000, 5.327]], "species": ["Tl", "Rh", "Ga", "Ga", "La"], "fractional_positions": [[0.500, 0.500, 0.500], [0.000, 0.000, 0.000], [0.000, 0.500, 0.000], [0.500, 0.000, 0.000], [0.000, 0.000, 0.500]]}

***

Record 3
{"formula": "La2TlGa2Rh5", "functional": "PBE-GGA", "state": "relaxed", "e_form_mev_per_atom": -652, "dft_energy_ev_per_atom": -6.156, "density_g_cm3": 10.1, "cell": [[-0.383, 2.894, -2.265], [-9.954, -0.230, 1.391], [0.949, 6.246, 7.820]], "species": ["La", "La", "La", "La", "Tl", "Tl", "Ga", "Ga", "Ga", "Ga", "Rh", "Rh", "Rh", "Rh", "Rh", "Rh", "Rh", "Rh", "Rh", "Rh"], "fractional_positions": [[0.000, 0.677, 0.177], [0.000, 0.323, 0.823], [0.000, 0.177, 0.323], [0.000, 0.823, 0.677], [0.000, 0.000, 0.000], [0.000, 0.500, 0.500], [0.000, 0.120, 0.620], [0.000, 0.880, 0.380], [0.000, 0.620, 0.880], [0.000, 0.380, 0.120], [0.500, 0.214, 0.069], [0.500, 0.786, 0.931], [0.500, 0.069, 0.786], [0.500, 0.714, 0.431], [0.500, 0.931, 0.214], [0.500, 0.286, 0.569], [0.500, 0.569, 0.714], [0.500, 0.431, 0.286], [0.500, 0.500, 0.000], [0.500, 0.000, 0.500]]}